## MgCoSeO (PBE with a Hubbard U)

Data for a geometry-optimized MgCoSeO structure.

DFT total energy, eV per cell: -157.01
Energy above the lowest structure with this stoichiometry, meV/atom: 134

Lattice parameters (Å, degrees): 6.2190 12.9470 6.4676 90.00 90.00 90.00
Space group Pbca (No. 61)
One atom of each set of equivalent atoms:
Mg (0.0582, 0.2481, 0.1288)
Co (0.2362, 0.5623, 0.9269)
Se (0.0174, 0.5522, 0.2505)
O (0.2373, 0.2165, 0.8766)